First-principles (PBE) data for an optimized crystal structure of AcPr8Ho5, as listed in Alexandria.

Results
As for the formation energy from the elements: 0.1785 eV/atom. The calculation puts the energy at -0.1647 Ha/atom. Its space group is P1.

Unit cell a=8.8315 b=8.6985 c=8.7541 alpha=117.43 beta=98.40 gamma=113.14
Closest atoms and distances in Å follow each position.
Element x y z (fractional)
1 Pr 0.5158 0.8964 0.7905  3 Pr 3.33-3.72, 2 Ho 3.52-3.56
2 Ho 0.2998 0.1161 0.0542  4 Pr 3.21-3.56, 1 Ho 3.45, 1 Ac 3.50
3 Ho 0.0949 0.3941 0.1239  5 Pr 3.21-3.54, 1 Ho 3.45
4 Pr 0.8827 0.1103 0.6370  3 Pr 3.20-3.53, 1 Ho 3.48, 1 Ac 3.53
5 Pr 0.1285 0.6460 0.9026  3 Ho 3.21-3.52, 2 Pr 3.53, 1 Ac 3.53
6 Ho 0.4076 0.0150 0.4184  7 Pr 3.52-3.93, 2 Ho 3.77-3.80, 1 Ac 3.86
7 Ac 0.3562 0.3813 0.8432  5 Pr 3.29-3.53, 2 Ho 3.50-3.60
8 Pr 0.2641 0.3811 0.4652  4 Ho 3.21-3.57, 1 Ac 3.29, 2 Pr 3.42-3.56
9 Ho 0.7360 0.6244 0.7095  1 Ho 3.49, 7 Pr 3.52-3.64, 1 Ac 3.87
10 Ho 0.9392 0.8993 0.1980  4 Pr 3.29-3.64, 1 Ho 3.49
11 Pr 0.5692 0.6460 0.3277  2 Pr 3.20-3.56, 1 Ac 3.48, 3 Ho 3.49-3.57
12 Pr 0.7355 0.3862 0.9507  3 Ho 3.27-3.57, 1 Ac 3.32, 3 Pr 3.33-3.53
13 Pr 0.0600 0.7572 0.5189  3 Pr 3.46-3.78, 5 Ho 3.53-3.82
14 Pr 0.7607 0.2465 0.3102  4 Pr 3.46-3.87, 5 Ho 3.52-3.77